Entry 1:
DFT (GGA-PBE) results for a relaxed SiIrAu2 crystal.

Results
Energy, eV/atom: -4.8168
Space-group type: Cmmm (65)
ΔE_f (raw), eV per atom: 0.39
Magnetic moment, Bohr magnetons per cell: 0.0

CIF file:
```
data_SiIrAu2
_symmetry_space_group_name_H-M 'P 1'
_symmetry_Int_Tables_number 1
_cell_length_a 2.839
_cell_length_b 2.839
_cell_length_c 9.570
_cell_angle_alpha 90.00
_cell_angle_beta 90.00
_cell_angle_gamma 120.71
loop_
_symmetry_equiv_pos_as_xyz
'x,y,z'
loop_
_atom_site_label
_atom_site_fract_x
_atom_site_fract_y
_atom_site_fract_z
_atom_site_occupancy
Si1 0.000 0.000 0.000 1
Ir1 0.000 0.000 0.500 1
Au1 0.500 0.500 0.246 1
Au2 0.500 0.500 0.754 1
```

***

Entry 2:
DFT (GGA-PBE) results for a relaxed SiIrAu2 crystal.

Results
Energy, eV/atom: -5.0495
Space-group type: C2/m (12)
ΔE_f (raw), eV per atom: 0.16
Magnetic moment, Bohr magnetons per cell: 0.0

CIF file:
```
data_SiIrAu2
_symmetry_space_group_name_H-M 'P 1'
_symmetry_Int_Tables_number 1
_cell_length_a 5.672
_cell_length_b 5.672
_cell_length_c 2.971
_cell_angle_alpha 104.99
_cell_angle_beta 104.99
_cell_angle_gamma 124.25
loop_
_symmetry_equiv_pos_as_xyz
'x,y,z'
loop_
_atom_site_label
_atom_site_fract_x
_atom_site_fract_y
_atom_site_fract_z
_atom_site_occupancy
Si1 0.000 0.000 0.000 1
Ir1 0.500 0.500 0.000 1
Au1 0.000 0.500 0.000 1
Au2 0.500 0.000 0.000 1
```

***

Entry 3:
DFT (GGA-PBE) results for a relaxed SiSnIr2Au crystal.

Results
Energy, eV/atom: -4.2766
Space-group type: P4/mmm (123)
ΔE_f (raw), eV per atom: 1.81
Magnetic moment, Bohr magnetons per cell: 1.2

CIF file:
```
data_SiSnIr2Au
_symmetry_space_group_name_H-M 'P 1'
_symmetry_Int_Tables_number 1
_cell_length_a 5.007
_cell_length_b 5.007
_cell_length_c 4.925
_cell_angle_alpha 90.00
_cell_angle_beta 90.00
_cell_angle_gamma 90.00
loop_
_symmetry_equiv_pos_as_xyz
'x,y,z'
loop_
_atom_site_label
_atom_site_fract_x
_atom_site_fract_y
_atom_site_fract_z
_atom_site_occupancy
Si1 0.000 0.000 0.000 1
Sn1 0.500 0.500 0.000 1
Ir1 0.000 0.500 0.500 1
Ir2 0.500 0.000 0.500 1
Au1 0.500 0.500 0.500 1
```

***

Entry 4:
DFT (GGA-PBE) results for a relaxed Th2Si3Ir4Au crystal.

Results
Energy, eV/atom: -7.8682
Space-group type: P-4m2 (115)
ΔE_f (raw), eV per atom: -0.89
Magnetic moment, Bohr magnetons per cell: 0.0

CIF file:
```
data_Th2Si3Ir4Au
_symmetry_space_group_name_H-M 'P 1'
_symmetry_Int_Tables_number 1
_cell_length_a 4.078
_cell_length_b 4.078
_cell_length_c 11.043
_cell_angle_alpha 90.00
_cell_angle_beta 90.00
_cell_angle_gamma 90.00
loop_
_symmetry_equiv_pos_as_xyz
'x,y,z'
loop_
_atom_site_label
_atom_site_fract_x
_atom_site_fract_y
_atom_site_fract_z
_atom_site_occupancy
Th1 0.000 0.500 0.250 1
Th2 0.500 0.000 0.750 1
Si1 0.000 0.000 0.000 1
Si2 0.000 0.500 0.617 1
Si3 0.500 0.000 0.383 1
Ir1 0.000 0.000 0.500 1
Ir2 0.000 0.500 0.829 1
Ir3 0.500 0.000 0.171 1
Ir4 0.500 0.500 0.500 1
Au1 0.500 0.500 0.000 1
```

***

Entry 5:
DFT (GGA-PBE) results for a relaxed Th2Si4Ir3Au crystal.

Results
Energy, eV/atom: -7.5749
Space-group type: P-4m2 (115)
ΔE_f (raw), eV per atom: -0.94
Magnetic moment, Bohr magnetons per cell: 0.0

CIF file:
```
data_Th2Si4Ir3Au
_symmetry_space_group_name_H-M 'P 1'
_symmetry_Int_Tables_number 1
_cell_length_a 4.251
_cell_length_b 4.251
_cell_length_c 9.961
_cell_angle_alpha 90.00
_cell_angle_beta 90.00
_cell_angle_gamma 90.00
loop_
_symmetry_equiv_pos_as_xyz
'x,y,z'
loop_
_atom_site_label
_atom_site_fract_x
_atom_site_fract_y
_atom_site_fract_z
_atom_site_occupancy
Th1 0.000 0.500 0.243 1
Th2 0.500 0.000 0.757 1
Si1 0.000 0.000 0.000 1
Si2 0.000 0.500 0.639 1
Si3 0.500 0.000 0.361 1
Si4 0.500 0.500 0.000 1
Ir1 0.000 0.500 0.879 1
Ir2 0.500 0.000 0.121 1
Ir3 0.500 0.500 0.500 1
Au1 0.000 0.000 0.500 1
```

***

Entry 6:
DFT (GGA-PBE) results for a relaxed U2Si3Ir4Au crystal.

Results
Energy, eV/atom: -8.3751
Space-group type: P-4m2 (115)
ΔE_f (raw), eV per atom: -0.62
Magnetic moment, Bohr magnetons per cell: 2.9

CIF file:
```
data_U2Si3Ir4Au
_symmetry_space_group_name_H-M 'P 1'
_symmetry_Int_Tables_number 1
_cell_length_a 3.966
_cell_length_b 3.966
_cell_length_c 11.095
_cell_angle_alpha 90.00
_cell_angle_beta 90.00
_cell_angle_gamma 90.00
loop_
_symmetry_equiv_pos_as_xyz
'x,y,z'
loop_
_atom_site_label
_atom_site_fract_x
_atom_site_fract_y
_atom_site_fract_z
_atom_site_occupancy
U1 0.000 0.500 0.249 1
U2 0.500 0.000 0.751 1
Si1 0.000 0.500 0.881 1
Si2 0.500 0.000 0.119 1
Si3 0.500 0.500 0.500 1
Ir1 0.000 0.000 0.000 1
Ir2 0.000 0.500 0.672 1
Ir3 0.500 0.000 0.328 1
Ir4 0.500 0.500 0.000 1
Au1 0.000 0.000 0.500 1
```

***

Entry 7:
DFT (GGA-PBE) results for a relaxed U2Si4Ir3Au crystal.

Results
Energy, eV/atom: -8.0233
Space-group type: P-4m2 (115)
ΔE_f (raw), eV per atom: -0.61
Magnetic moment, Bohr magnetons per cell: 3.7

CIF file:
```
data_U2Si4Ir3Au
_symmetry_space_group_name_H-M 'P 1'
_symmetry_Int_Tables_number 1
_cell_length_a 4.155
_cell_length_b 4.155
_cell_length_c 9.965
_cell_angle_alpha 90.00
_cell_angle_beta 90.00
_cell_angle_gamma 90.00
loop_
_symmetry_equiv_pos_as_xyz
'x,y,z'
loop_
_atom_site_label
_atom_site_fract_x
_atom_site_fract_y
_atom_site_fract_z
_atom_site_occupancy
U1 0.000 0.500 0.240 1
U2 0.500 0.000 0.760 1
Si1 0.000 0.000 0.000 1
Si2 0.000 0.500 0.640 1
Si3 0.500 0.000 0.360 1
Si4 0.500 0.500 0.000 1
Ir1 0.000 0.500 0.876 1
Ir2 0.500 0.000 0.124 1
Ir3 0.500 0.500 0.500 1
Au1 0.000 0.000 0.500 1
```

***

Entry 8:
DFT (GGA-PBE) results for a relaxed SiIrW2Au crystal.

Results
Energy, eV/atom: -6.2400
Space-group type: P4/mmm (123)
ΔE_f (raw), eV per atom: 2.45
Magnetic moment, Bohr magnetons per cell: 2.4

CIF file:
```
data_SiIrW2Au
_symmetry_space_group_name_H-M 'P 1'
_symmetry_Int_Tables_number 1
_cell_length_a 4.918
_cell_length_b 4.918
_cell_length_c 4.331
_cell_angle_alpha 90.00
_cell_angle_beta 90.00
_cell_angle_gamma 90.00
loop_
_symmetry_equiv_pos_as_xyz
'x,y,z'
loop_
_atom_site_label
_atom_site_fract_x
_atom_site_fract_y
_atom_site_fract_z
_atom_site_occupancy
Si1 0.000 0.000 0.000 1
Ir1 0.500 0.500 0.000 1
W1 0.000 0.500 0.500 1
W2 0.500 0.000 0.500 1
Au1 0.000 0.000 0.500 1
```

***

Entry 9:
DFT (GGA-PBE) results for a relaxed Sm2IrAu crystal.

Results
Energy, eV/atom: -6.1328
Space-group type: P4/mmm (123)
Magnetic moment, Bohr magnetons per cell: 0.0
Energy relative to the elements, eV/atom: -0.74

CIF file:
```
data_Sm2IrAu
_symmetry_space_group_name_H-M 'P 1'
_symmetry_Int_Tables_number 1
_cell_length_a 3.589
_cell_length_b 3.589
_cell_length_c 7.200
_cell_angle_alpha 90.00
_cell_angle_beta 90.00
_cell_angle_gamma 90.00
loop_
_symmetry_equiv_pos_as_xyz
'x,y,z'
loop_
_atom_site_label
_atom_site_fract_x
_atom_site_fract_y
_atom_site_fract_z
_atom_site_occupancy
Sm1 0.000 0.000 0.233 1
Sm2 0.000 0.000 0.767 1
Ir1 0.500 0.500 0.000 1
Au1 0.500 0.500 0.500 1
```

***

Entry 10:
DFT (GGA-PBE) results for a relaxed Sm4Ir2Au crystal.

Results
Energy, eV/atom: -6.3812
Space-group type: C2 (5)
Magnetic moment, Bohr magnetons per cell: 0.0
Energy relative to the elements, eV/atom: -0.68

CIF file:
```
data_Sm4Ir2Au
_symmetry_space_group_name_H-M 'P 1'
_symmetry_Int_Tables_number 1
_cell_length_a 7.711
_cell_length_b 7.711
_cell_length_c 8.836
_cell_angle_alpha 124.92
_cell_angle_beta 124.92
_cell_angle_gamma 70.86
loop_
_symmetry_equiv_pos_as_xyz
'x,y,z'
loop_
_atom_site_label
_atom_site_fract_x
_atom_site_fract_y
_atom_site_fract_z
_atom_site_occupancy
Sm1 0.064 0.568 0.263 1
Sm2 0.068 0.068 0.265 1
Sm3 0.200 0.431 0.868 1
Sm4 0.432 0.936 0.737 1
Sm5 0.563 0.300 0.629 1
Sm6 0.569 0.800 0.132 1
Sm7 0.700 0.437 0.371 1
Sm8 0.932 0.932 0.735 1
Ir1 0.195 0.563 0.629 1
Ir2 0.437 0.805 0.371 1
Ir3 0.696 0.304 0.000 1
Ir4 0.936 0.064 0.500 1
Au1 0.315 0.184 0.125 1
Au2 0.816 0.685 0.875 1
```

***

Entry 11:
DFT (GGA-PBE) results for a relaxed Sm3IrAu crystal.

Results
Energy, eV/atom: -5.9526
Energy relative to the lowest polymorph listed for this composition, kJ/mol of formula units: 0
Space-group type: Pnma (62)
Magnetic moment, Bohr magnetons per cell: 0.0
Energy relative to the elements, eV/atom: -0.69

CIF file:
```
data_Sm3IrAu
_symmetry_space_group_name_H-M 'P 1'
_symmetry_Int_Tables_number 1
_cell_length_a 7.565
_cell_length_b 4.574
_cell_length_c 15.512
_cell_angle_alpha 90.00
_cell_angle_beta 90.00
_cell_angle_gamma 90.00
loop_
_symmetry_equiv_pos_as_xyz
'x,y,z'
loop_
_atom_site_label
_atom_site_fract_x
_atom_site_fract_y
_atom_site_fract_z
_atom_site_occupancy
Sm1 0.015 0.250 0.100 1
Sm2 0.133 0.750 0.446 1
Sm3 0.177 0.250 0.720 1
Sm4 0.323 0.750 0.220 1
Sm5 0.367 0.250 0.946 1
Sm6 0.485 0.750 0.600 1
Sm7 0.515 0.250 0.400 1
Sm8 0.633 0.750 0.054 1
Sm9 0.677 0.250 0.780 1
Sm10 0.823 0.750 0.280 1
Sm11 0.867 0.250 0.554 1
Sm12 0.985 0.750 0.900 1
Ir1 0.234 0.750 0.044 1
Ir2 0.266 0.250 0.544 1
Ir3 0.734 0.750 0.456 1
Ir4 0.766 0.250 0.956 1
Au1 0.115 0.250 0.304 1
Au2 0.385 0.750 0.804 1
Au3 0.615 0.250 0.196 1
Au4 0.885 0.750 0.696 1
```

***

Entry 12:
DFT (GGA-PBE) results for a relaxed Sm8IrAu2 crystal.

Results
Energy, eV/atom: -5.2793
Energy relative to the lowest polymorph listed for this composition, kJ/mol of formula units: 0
Space-group type: C2/m (12)
Magnetic moment, Bohr magnetons per cell: 0.0
Energy relative to the elements, eV/atom: -0.45

CIF file:
```
data_Sm8IrAu2
_symmetry_space_group_name_H-M 'P 1'
_symmetry_Int_Tables_number 1
_cell_length_a 9.304
_cell_length_b 9.304
_cell_length_c 6.932
_cell_angle_alpha 101.67
_cell_angle_beta 101.67
_cell_angle_gamma 32.23
loop_
_symmetry_equiv_pos_as_xyz
'x,y,z'
loop_
_atom_site_label
_atom_site_fract_x
_atom_site_fract_y
_atom_site_fract_z
_atom_site_occupancy
Sm1 0.029 0.029 0.286 1
Sm2 0.203 0.203 0.823 1
Sm3 0.341 0.341 0.532 1
Sm4 0.413 0.413 0.064 1
Sm5 0.587 0.587 0.936 1
Sm6 0.659 0.659 0.468 1
Sm7 0.797 0.797 0.177 1
Sm8 0.971 0.971 0.714 1
Ir1 0.500 0.500 0.500 1
Au1 0.191 0.191 0.237 1
Au2 0.809 0.809 0.763 1
```

***

- Which value of energy does entry 3 give?
  -4.2766 eV/atom